Entry 1:
# SnHg3Pb4

An optimized crystal structure of SnHg3Pb4 (PBE, the Alexandria database).

Geometry as POSCAR:
```
SnHg3Pb4
1.0
4.601 0.000 0.000
0.000 4.517 0.000
0.000 0.000 11.450
Sn Hg Pb
1 3 4
Direct
0.500 0.500 0.092 Sn
0.000 0.500 0.601 Hg
0.000 0.000 0.403 Hg
0.500 0.000 0.896 Hg
0.500 0.500 0.374 Pb
0.000 0.500 0.875 Pb
0.000 0.000 0.133 Pb
0.500 0.000 0.625 Pb
```

Properties
For the excess energy over the best structure of this formula in the dataset, the calculation gives 0.0261 eV per atom. As for the space-group type: Pmm2 (25). The calculation puts the formation energy at 0.046 eV/atom. The calculation puts the density of states at the Fermi level at 3.05 states/eV/f.u.


Entry 2:
# SnHgPb2

An optimized crystal structure of SnHgPb2 (PBE, the Alexandria database).

Geometry as POSCAR:
```
SnHgPb2
1.0
-1.123 -3.238 -2.631
2.742 -3.266 -0.699
-2.633 -6.177 5.177
Sn Hg Pb
1 1 2
Direct
0.500 0.500 0.500 Sn
0.667 0.667 0.998 Hg
0.090 0.090 0.731 Pb
0.243 0.243 0.271 Pb
```

Properties
For the excess energy over the best structure of this formula in the dataset, the calculation gives 0.0768 eV per atom. As for the space-group type: R3m (160). The calculation puts the formation energy at 0.098 eV/atom. The calculation puts the density of states at the Fermi level at 1.43 states/eV/f.u.


Entry 3:
# SnHg2Pb

An optimized crystal structure of SnHg2Pb (PBE, the Alexandria database).

Geometry as POSCAR:
```
SnHg2Pb
1.0
3.782 0.000 0.000
0.000 3.782 0.000
0.000 0.000 7.612
Pb Hg Sn
1 2 1
Direct
0.500 0.500 0.500 Pb
0.000 0.000 0.763 Hg
0.000 0.000 0.237 Hg
0.500 0.500 0.000 Sn
```

Properties
As for the space-group type: P4/mmm (123). The calculation puts the formation energy at 0.059 eV/atom. The calculation puts the density of states at the Fermi level at 2.11 states/eV/f.u.


Entry 4:
# SnHg4Pb

An optimized crystal structure of SnHg4Pb (PBE, the Alexandria database).

Geometry as POSCAR:
```
SnHg4Pb
1.0
-2.735 0.697 1.681
-1.947 -5.217 -1.006
3.365 -2.709 7.537
Sn Hg Pb
1 4 1
Direct
0.500 0.000 0.000 Sn
0.029 0.000 0.672 Hg
0.837 0.500 0.841 Hg
0.971 0.000 0.328 Hg
0.163 0.500 0.159 Hg
0.500 0.500 0.500 Pb
```

Properties
For the excess energy over the best structure of this formula in the dataset, the calculation gives 0.0000 eV per atom. As for the space-group type: P2/m (10). The calculation puts the formation energy at 0.065 eV/atom. The calculation puts the density of states at the Fermi level at 2.17 states/eV/f.u.


Entry 5:
# Sn2HgPb8

An optimized crystal structure of Sn2HgPb8 (PBE, the Alexandria database).

Geometry as POSCAR:
```
Sn2HgPb8
1.0
5.748 0.529 0.401
0.797 8.410 0.819
0.797 3.053 7.879
Sn Hg Pb
2 1 8
Direct
0.511 0.884 0.884 Sn
0.489 0.116 0.116 Sn
0.000 0.000 0.000 Hg
0.214 0.370 0.774 Pb
0.786 0.226 0.630 Pb
0.074 0.772 0.772 Pb
0.926 0.228 0.228 Pb
0.214 0.774 0.370 Pb
0.786 0.630 0.226 Pb
0.662 0.638 0.638 Pb
0.338 0.362 0.362 Pb
```

Properties
For the excess energy over the best structure of this formula in the dataset, the calculation gives 0.0930 eV per atom. As for the space-group type: C2/m (12). The calculation puts the formation energy at 0.115 eV/atom. The calculation puts the density of states at the Fermi level at 4.88 states/eV/f.u.


Entry 6:
# Sn5Hg2Pb12

An optimized crystal structure of Sn5Hg2Pb12 (PBE, the Alexandria database).

Geometry as POSCAR:
```
Sn5Hg2Pb12
1.0
-2.753 5.485 0.229
-6.735 -2.549 7.115
3.468 2.486 9.180
Sn Hg Pb
5 2 12
Direct
0.446 0.205 0.205 Sn
0.919 0.303 0.303 Sn
0.500 0.000 0.000 Sn
0.081 0.697 0.697 Sn
0.554 0.795 0.795 Sn
0.000 0.363 0.637 Hg
0.000 0.637 0.363 Hg
0.038 0.896 0.896 Pb
0.219 0.551 0.061 Pb
0.219 0.061 0.551 Pb
0.673 0.664 0.137 Pb
0.673 0.137 0.664 Pb
0.424 0.402 0.402 Pb
0.576 0.598 0.598 Pb
0.327 0.336 0.863 Pb
0.327 0.863 0.336 Pb
0.781 0.449 0.939 Pb
0.781 0.939 0.449 Pb
0.962 0.104 0.104 Pb
```

Properties
For the excess energy over the best structure of this formula in the dataset, the calculation gives 0.0000 eV per atom. As for the space-group type: C2/m (12). The calculation puts the formation energy at 0.053 eV/atom. The calculation puts the density of states at the Fermi level at 8.71 states/eV/f.u.


Entry 7:
# SnHgPb5

An optimized crystal structure of SnHgPb5 (PBE, the Alexandria database).

Geometry as POSCAR:
```
SnHgPb5
1.0
8.119 -0.105 2.630
2.476 7.733 2.630
6.564 4.726 10.352
Sn Hg Pb
2 2 10
Direct
0.000 0.000 0.000 Sn
0.000 0.000 0.500 Sn
0.571 0.429 0.250 Hg
0.429 0.571 0.750 Hg
0.043 0.504 0.132 Pb
0.181 0.580 0.483 Pb
0.504 0.043 0.632 Pb
0.999 0.001 0.250 Pb
0.420 0.819 0.017 Pb
0.580 0.181 0.983 Pb
0.001 0.999 0.750 Pb
0.496 0.957 0.368 Pb
0.819 0.420 0.517 Pb
0.957 0.496 0.868 Pb
```

Properties
For the excess energy over the best structure of this formula in the dataset, the calculation gives 0.0355 eV per atom. As for the space-group type: C2/c (15). The calculation puts the formation energy at 0.080 eV/atom. The calculation puts the density of states at the Fermi level at 3.34 states/eV/f.u.


Entry 8:
# Sn6HgPb12

An optimized crystal structure of Sn6HgPb12 (PBE, the Alexandria database).

Geometry as POSCAR:
```
Sn6HgPb12
1.0
-0.668 -8.388 2.736
7.939 1.643 3.543
-4.823 3.617 6.476
Sn Hg Pb
6 1 12
Direct
0.734 0.857 0.479 Sn
0.521 0.266 0.143 Sn
0.143 0.521 0.266 Sn
0.266 0.143 0.521 Sn
0.479 0.734 0.857 Sn
0.857 0.479 0.734 Sn
0.000 0.000 0.000 Hg
0.811 0.521 0.382 Pb
0.382 0.811 0.521 Pb
0.521 0.382 0.811 Pb
0.189 0.479 0.618 Pb
0.618 0.189 0.479 Pb
0.479 0.618 0.189 Pb
0.039 0.865 0.311 Pb
0.135 0.689 0.961 Pb
0.689 0.961 0.135 Pb
0.961 0.135 0.689 Pb
0.865 0.311 0.039 Pb
0.311 0.039 0.865 Pb
```

Properties
As for the space-group type: R-3 (148). The calculation puts the formation energy at 0.122 eV/atom. The calculation puts the density of states at the Fermi level at 7.65 states/eV/f.u.


Entry 9:
# Sn4Hg2Pb3

An optimized crystal structure of Sn4Hg2Pb3 (PBE, the Alexandria database).

Geometry as POSCAR:
```
Sn4Hg2Pb3
1.0
-3.107 -0.769 2.096
-1.034 -6.250 -0.333
5.045 -4.622 9.277
Sn Hg Pb
4 2 3
Direct
0.686 0.512 0.116 Sn
0.998 0.313 0.692 Sn
0.002 0.687 0.308 Sn
0.314 0.488 0.884 Sn
0.331 0.106 0.231 Hg
0.669 0.894 0.769 Hg
0.349 0.752 0.551 Pb
0.000 0.000 0.000 Pb
0.651 0.248 0.449 Pb
```

Properties
As for the space-group type: C2/m (12). The calculation puts the formation energy at 0.051 eV/atom. The calculation puts the density of states at the Fermi level at 4.34 states/eV/f.u.


Entry 10:
# Sn3Hg2Pb2

An optimized crystal structure of Sn3Hg2Pb2 (PBE, the Alexandria database).

Geometry as POSCAR:
```
Sn3Hg2Pb2
1.0
-2.377 -1.898 -1.670
-1.724 -0.508 3.031
-9.740 13.306 -1.265
Sn Hg Pb
3 2 2
Direct
0.500 0.430 0.139 Sn
0.500 0.570 0.861 Sn
0.000 0.000 0.000 Sn
0.000 0.135 0.729 Hg
0.000 0.865 0.271 Hg
0.500 0.294 0.412 Pb
0.500 0.706 0.588 Pb
```

Properties
As for the space-group type: Cmmm (65). The calculation puts the formation energy at 0.070 eV/atom. The calculation puts the density of states at the Fermi level at 3.48 states/eV/f.u.


Entry 11:
# Sn3HgPb3

An optimized crystal structure of Sn3HgPb3 (PBE, the Alexandria database).

Geometry as POSCAR:
```
Sn3HgPb3
1.0
5.794 0.000 0.000
0.000 9.009 0.000
0.000 -4.505 7.802
Sn Hg Pb
6 2 6
Direct
0.750 0.041 0.816 Sn
0.750 0.774 0.959 Sn
0.250 0.816 0.774 Sn
0.750 0.184 0.226 Sn
0.250 0.226 0.041 Sn
0.250 0.959 0.184 Sn
0.250 0.667 0.333 Hg
0.750 0.333 0.667 Hg
0.750 0.620 0.528 Pb
0.750 0.908 0.380 Pb
0.250 0.528 0.908 Pb
0.750 0.472 0.092 Pb
0.250 0.092 0.620 Pb
0.250 0.380 0.472 Pb
```

Properties
For the excess energy over the best structure of this formula in the dataset, the calculation gives 0.0000 eV per atom. As for the space-group type: P6_3/m (176). The calculation puts the formation energy at 0.058 eV/atom. The calculation puts the density of states at the Fermi level at 3.78 states/eV/f.u.